No. 1
The following is a GGA-PBE calculation of a relaxed PmNd5N5 crystal, from Alexandria via LeMat-Bulk. Values from VASP.

The structure in Quantum ESPRESSO input format:
```
&SYSTEM
  ibrav = 0, nat = 11, ntyp = 3
/
ATOMIC_SPECIES
Pm 145.00 Pm.upf
Nd 144.24 Nd.upf
N 14.01 N.upf
CELL_PARAMETERS angstrom
5.1749 0.0000 0.0000
-2.5874 5.7604 -0.0652
0.0000 -2.2317 6.9498
ATOMIC_POSITIONS crystal
Pm 0.0000 0.0000 0.0000
Nd 0.6741 0.3482 0.3278
Nd 0.6706 0.3412 0.8458
Nd 0.0000 0.0000 0.5000
Nd 0.3294 0.6588 0.1542
Nd 0.3259 0.6518 0.6722
N 0.8304 0.6607 0.1655
N 0.8355 0.6709 0.6648
N 0.5000 0.0000 0.0000
N 0.1645 0.3291 0.3352
N 0.1696 0.3393 0.8345
```

Results
For the uncorrected energy, the calculation gives -83.849 eV for the cell shown. For the spin magnetization, the calculation gives 0.341 μB/cell.



No. 2
The following is a GGA-PBE calculation of a relaxed Mg3CuPd3 crystal, from Alexandria via LeMat-Bulk. Values from VASP.

The structure in Quantum ESPRESSO input format:
```
&SYSTEM
  ibrav = 0, nat = 14, ntyp = 3
/
ATOMIC_SPECIES
Mg 24.30 Mg.upf
Cu 63.55 Cu.upf
Pd 106.42 Pd.upf
CELL_PARAMETERS angstrom
6.2612 0.0703 -0.0008
0.0846 6.2610 -0.0008
0.0006 0.0006 6.0526
ATOMIC_POSITIONS crystal
Mg 0.2521 0.2521 0.5002
Mg 0.2468 0.7532 0.5000
Mg 0.7532 0.2468 0.5000
Mg 0.2928 0.7072 0.0000
Mg 0.7072 0.2928 0.0000
Mg 0.7479 0.7479 0.4998
Cu 0.2539 0.2539 0.9999
Cu 0.7461 0.7461 0.0001
Pd 0.9999 0.9999 0.7679
Pd 0.4999 0.0001 0.2441
Pd 0.0001 0.4999 0.2441
Pd 0.5001 0.9999 0.7559
Pd 0.9999 0.5001 0.7559
Pd 0.0001 0.0001 0.2321
```

Results
For the spin magnetization, the calculation gives 0.000 μB/cell. The formation energy comes out at -0.49 eV/atom.



No. 3
The following is a GGA-PBE calculation of a relaxed Cs2CaTl6 crystal, from Alexandria via LeMat-Bulk. Values from VASP.

The structure in Quantum ESPRESSO input format:
```
&SYSTEM
  ibrav = 0, nat = 9, ntyp = 3
/
ATOMIC_SPECIES
Cs 132.91 Cs.upf
Ca 40.08 Ca.upf
Tl 204.38 Tl.upf
CELL_PARAMETERS angstrom
-0.1806 -3.3339 -1.4254
9.3316 2.1389 -6.1854
0.9809 -4.5092 10.4221
ATOMIC_POSITIONS crystal
Cs 0.3286 0.6667 0.3333
Cs 0.6714 0.3333 0.6667
Ca 0.5000 0.0000 0.0000
Tl 0.8412 0.8452 0.6903
Tl 0.8412 0.8452 0.1548
Tl 0.1588 0.6903 0.8452
Tl 0.8412 0.3097 0.1548
Tl 0.1588 0.1548 0.8452
Tl 0.1588 0.1548 0.3097
```

Results
For the spin magnetization, the calculation gives 0.000 μB/cell. The formation energy comes out at 0.03 eV/atom.



No. 4
The following is a GGA-PBE calculation of a relaxed BeVRh2 crystal, from Alexandria via LeMat-Bulk. Values from VASP.

The structure in Quantum ESPRESSO input format:
```
&SYSTEM
  ibrav = 0, nat = 8, ntyp = 3
/
ATOMIC_SPECIES
Be 9.01 Be.upf
Rh 102.91 Rh.upf
V 50.94 V.upf
CELL_PARAMETERS angstrom
-6.0415 -1.7494 -0.0441
1.4103 -4.9611 3.6000
-2.7588 -1.8802 3.9844
ATOMIC_POSITIONS crystal
Be 0.5000 0.5000 0.0000
Be 0.2500 0.7500 0.5000
Rh 0.5879 0.1250 0.2500
Rh 0.1621 0.6250 0.2500
Rh 0.3750 0.4121 0.7500
Rh 0.8750 0.8379 0.7500
V 0.0000 0.0000 0.0000
V 0.7500 0.2500 0.5000
```

Results
For the spin magnetization, the calculation gives 2.047 μB/cell. The formation energy comes out at -0.01 eV/atom.



No. 5
The following is a GGA-PBE calculation of a relaxed BaBe2Si2 crystal, from Alexandria via LeMat-Bulk. Values from VASP.

The structure in Quantum ESPRESSO input format:
```
&SYSTEM
  ibrav = 0, nat = 10, ntyp = 3
/
ATOMIC_SPECIES
Ba 137.33 Ba.upf
Be 9.01 Be.upf
Si 28.09 Si.upf
CELL_PARAMETERS angstrom
-4.6820 3.4175 1.6226
-0.8382 -0.0082 5.5569
1.1791 6.2871 1.3515
ATOMIC_POSITIONS crystal
Ba 0.8904 0.7502 0.2179
Ba 0.1096 0.2498 0.7821
Be 0.4680 0.7506 0.0631
Be 0.7400 0.2504 0.5197
Be 0.5320 0.2494 0.9369
Be 0.2600 0.7496 0.4803
Si 0.5130 0.3620 0.2696
Si 0.7837 0.8621 0.7298
Si 0.2162 0.1379 0.2702
Si 0.4870 0.6380 0.7304
```

Results
For the uncorrected energy, the calculation gives -41.821 eV for the cell shown. For the spin magnetization, the calculation gives 0.000 μB/cell.



No. 6
The following is a GGA-PBE calculation of a relaxed Ta2As crystal, from Alexandria via LeMat-Bulk. Values from VASP.

The structure in Quantum ESPRESSO input format:
```
&SYSTEM
  ibrav = 0, nat = 3, ntyp = 2
/
ATOMIC_SPECIES
Ta 180.95 Ta.upf
As 74.92 As.upf
CELL_PARAMETERS angstrom
2.3835 -4.1283 0.0000
2.3835 4.1283 0.0000
0.0000 0.0000 2.8383
ATOMIC_POSITIONS crystal
Ta 0.6667 0.3333 0.0000
Ta 0.3333 0.6667 0.0000
As 0.0000 0.0000 0.5000
```

Results
For the spin magnetization, the calculation gives 0.000 μB/cell. The formation energy comes out at 0.57 eV/atom.



No. 7
The following is a GGA-PBE calculation of a relaxed YAgAsOs2 crystal, from Alexandria via LeMat-Bulk. Values from VASP.

The structure in Quantum ESPRESSO input format:
```
&SYSTEM
  ibrav = 0, nat = 5, ntyp = 4
/
ATOMIC_SPECIES
Y 88.91 Y.upf
As 74.92 As.upf
Os 190.23 Os.upf
Ag 107.87 Ag.upf
CELL_PARAMETERS angstrom
4.6255 0.0000 0.0000
0.0000 4.7673 0.0000
0.0000 0.0000 4.6255
ATOMIC_POSITIONS crystal
Y 0.5000 0.5000 0.5000
As 0.0000 0.0000 0.0000
Os 0.0000 0.0000 0.5000
Os 0.5000 0.0000 0.0000
Ag 0.0000 0.5000 0.0000
```

Results
For the spin magnetization, the calculation gives 0.000 μB/cell. The formation energy comes out at 0.56 eV/atom.



No. 8
The following is a GGA-PBE calculation of a relaxed PuPdPb crystal, from Alexandria via LeMat-Bulk. Values from VASP.

The structure in Quantum ESPRESSO input format:
```
&SYSTEM
  ibrav = 0, nat = 3, ntyp = 3
/
ATOMIC_SPECIES
Pb 207.20 Pb.upf
Pd 106.42 Pd.upf
Pu 244.00 Pu.upf
CELL_PARAMETERS angstrom
-0.7481 -3.1970 0.5458
3.3501 -0.1702 3.5950
-4.6413 1.2607 1.0224
ATOMIC_POSITIONS crystal
Pb 0.1668 0.0000 0.0000
Pd 0.1665 0.3333 0.6667
Pu 0.6667 0.6667 0.3333
```

Results
For the spin magnetization, the calculation gives 5.469 μB/cell. The formation energy comes out at -0.32 eV/atom.



Mass density list, top to bottom, in g/cm³: 7.5, 6.4, 6.2, 8.3, 3.9, 13.0, 10.6, 13.3
D(E_F) list, top to bottom, in states/eV per cell: 4.2, 5.3, 7.4, 5.1, 1.6, 1.9, 1.6, 10.5